(1)
The following is a PBE calculation of a relaxed structure of TmAsF, from the Alexandria database.

Cell: 4.346 3.831 3.831 Å, 120.00 90.00 90.00°
Element x y z (fractional)
As 0.667 0.667 0.333
Tm 0.167 0.000 0.000
F 0.167 0.333 0.667

Raw formation energy = -6.38 eV per formula unit
Theoretical density = 7.90 g cm⁻³
Offset from the most stable computed form = 142 meV/atom
Density of states at the Fermi level = 0.39 states/eV per atom
Magnetization = 0.0 Bohr magnetons per cell

=====

(2)
The following is a PBE calculation of a relaxed structure of TmAsF, from the Alexandria database.

Cell: 4.138 5.083 10.841 Å, 43.44 90.00 114.02°
Element x y z (fractional)
F 0.293 0.586 0.404
F 0.707 0.414 0.596
As 0.783 0.565 0.145
As 0.217 0.435 0.855
Tm 0.978 0.955 0.257
Tm 0.022 0.045 0.743

Raw formation energy = -6.81 eV per formula unit
Theoretical density = 6.91 g cm⁻³
Offset from the most stable computed form = 0 meV/atom
Magnetization = 0.0 Bohr magnetons per cell